No. 1
Er5CdHg2 | PBE-GGA | relaxed

Results
Space group = Cmcm, No. 63
Crystal system = orthorhombic
Total energy = -51.37 eV/cell

Cell and atoms, written as POSCAR:
```
Er5CdHg2
1.0
4.706 0.000 0.000
-2.353 5.423 0.000
0.000 0.000 16.867
Cd Er Hg
2 10 4
direct
0.188 0.376 0.250
0.812 0.624 0.750
0.349 0.697 0.463
0.956 0.913 0.901
0.349 0.697 0.037
0.956 0.913 0.599
0.044 0.087 0.401
0.651 0.303 0.963
0.527 0.054 0.750
0.044 0.087 0.099
0.473 0.946 0.250
0.651 0.303 0.537
0.761 0.522 0.146
0.239 0.478 0.854
0.239 0.478 0.646
0.761 0.522 0.354
```

=====

No. 2
Er3Cd2Hg3 | PBE-GGA | relaxed

Results
Space group = Immm, No. 71
Distance to the lowest polymorph of the same formula = 0.0 meV/atom
Crystal system = orthorhombic
Total energy = -19.25 eV/cell

Cell and atoms, written as POSCAR:
```
Er3Cd2Hg3
1.0
-2.327 -2.943 -0.262
4.045 -3.157 -0.460
-0.584 1.937 10.423
Er Hg Cd
3 3 2
direct
0.630 0.630 0.260
0.500 0.000 0.000
0.370 0.370 0.740
0.879 0.879 0.758
0.000 0.500 0.000
0.121 0.121 0.242
0.259 0.759 0.519
0.741 0.241 0.481
```

=====

No. 3
ErCd2Hg | PBE-GGA | relaxed

Results
Space group = R-3m, No. 166
Distance to the lowest polymorph of the same formula = 450.5 meV/atom
Crystal system = trigonal
Total energy = -6.04 eV/cell

Cell and atoms, written as POSCAR:
```
ErCd2Hg
1.0
-0.793 -2.161 2.338
2.188 -2.242 0.972
4.304 5.723 9.051
Cd Er Hg
2 1 1
direct
0.909 0.909 0.273
0.091 0.091 0.727
0.000 0.000 0.000
0.500 0.500 0.500
```

=====

No. 4
Er4Cd5Hg | PBE-GGA | relaxed

Results
Space group = C2/m, No. 12
Crystal system = monoclinic
Total energy = -26.27 eV/cell

Cell and atoms, written as POSCAR:
```
Er4Cd5Hg
1.0
-2.497 -0.770 -4.377
-5.115 -2.187 3.303
0.197 8.046 1.441
Er Cd Hg
4 5 1
direct
0.904 0.110 0.808
0.691 0.307 0.382
0.096 0.890 0.192
0.309 0.693 0.618
0.899 0.585 0.799
0.500 0.500 0.000
0.101 0.415 0.201
0.702 0.807 0.404
0.298 0.193 0.596
0.500 0.000 0.000
```

=====

Which energy relative to the elements belongs to each record? In order, -0.1687, -0.3535, 0.1630, -0.3141 eV per atom.